Entry 1:
# Sc2RhAu

A relaxed Sc2RhAu crystal (GGA-PBE, Alexandria).

Unit cell a=7.289 b=7.289 c=5.937 alpha=52.13 beta=52.13 gamma=90.00
Fractional positions:
Sc 0.601 0.125 0.250
Sc 0.875 0.851 0.750
Sc 0.149 0.625 0.250
Sc 0.375 0.399 0.750
Rh 0.250 0.750 0.500
Rh 0.500 0.500 0.000
Au 0.750 0.250 0.500
Au 0.000 0.000 0.000

Summary:
Total DFT energy (no corrections) ... -50.54 eV for the cell shown
ΔE_f ... -0.495 eV/atom
V ... 19.6 Å³/atom
Total magnetic moment ... 0.00 Bohr magnetons per cell

=====

Entry 2:
# Sc2RhAu

A relaxed Sc2RhAu crystal (GGA-PBE, Alexandria).

Unit cell a=7.216 b=7.216 c=7.216 alpha=29.81 beta=29.81 gamma=29.81
Fractional positions:
Rh 0.750 0.750 0.750
Sc 0.010 0.010 0.010
Sc 0.490 0.490 0.490
Au 0.250 0.250 0.250

Summary:
Total DFT energy (no corrections) ... -25.73 eV for the cell shown
ΔE_f ... -0.610 eV/atom
V ... 20.6 Å³/atom
Total magnetic moment ... 0.00 Bohr magnetons per cell

=====

Entry 3:
# ScRh2Au

A relaxed ScRh2Au crystal (GGA-PBE, Alexandria).

Unit cell a=2.993 b=2.993 c=7.437 alpha=90.00 beta=90.00 gamma=90.00
Each line ends with the local moment (μB).
Fractional positions:
Rh 0.500 0.500 0.250  0.22
Rh 0.000 0.000 0.013  0.48
Au 0.500 0.500 0.755  0.01
Sc 0.000 0.000 0.483  -0.02

Summary:
Total DFT energy (no corrections) ... -25.51 eV for the cell shown
ΔE_f ... -0.299 eV/atom
V ... 16.7 Å³/atom
Total magnetic moment ... 0.67 Bohr magnetons per cell

=====

Entry 4:
# Sc8Rh2Au

A relaxed Sc8Rh2Au crystal (GGA-PBE, Alexandria).

Unit cell a=5.035 b=7.346 c=7.346 alpha=114.21 beta=98.65 gamma=98.65
Fractional positions:
Sc 0.589 0.330 0.077
Sc 0.000 0.237 0.769
Sc 0.185 0.378 0.378
Sc 0.000 0.769 0.237
Sc 0.412 0.677 0.929
Sc 0.815 0.628 0.628
Sc 0.412 0.929 0.677
Sc 0.589 0.077 0.330
Rh 0.500 0.693 0.313
Rh 0.500 0.313 0.693
Au 0.000 0.003 0.003

Summary:
Total DFT energy (no corrections) ... -73.59 eV for the cell shown
ΔE_f ... -0.451 eV/atom
V ... 21.6 Å³/atom
Total magnetic moment ... 0.00 Bohr magnetons per cell

=====

Entry 5:
# ScRh2Au

A relaxed ScRh2Au crystal (GGA-PBE, Alexandria).

Unit cell a=3.942 b=3.942 c=9.590 alpha=78.14 beta=78.14 gamma=90.00
Fractional positions:
Rh 0.624 0.125 0.250
Rh 0.875 0.874 0.750
Rh 0.126 0.625 0.250
Rh 0.375 0.376 0.750
Au 0.750 0.250 0.500
Au 0.000 0.000 0.000
Sc 0.250 0.750 0.500
Sc 0.500 0.500 0.000

Summary:
Total DFT energy (no corrections) ... -50.12 eV for the cell shown
ΔE_f ... -0.187 eV/atom
V ... 17.8 Å³/atom
Total magnetic moment ... 0.00 Bohr magnetons per cell

=====

Entry 6:
# Sc2Rh2Au

A relaxed Sc2Rh2Au crystal (GGA-PBE, Alexandria).

Unit cell a=7.636 b=7.636 c=3.058 alpha=90.00 beta=90.00 gamma=90.00
Fractional positions:
Au 0.500 0.500 0.000
Au 0.000 0.000 0.000
Sc 0.152 0.348 0.000
Sc 0.348 0.848 0.000
Sc 0.652 0.152 0.000
Sc 0.848 0.652 0.000
Rh 0.145 0.645 0.500
Rh 0.355 0.145 0.500
Rh 0.645 0.855 0.500
Rh 0.855 0.355 0.500

Summary:
Total DFT energy (no corrections) ... -67.30 eV for the cell shown
Energy relative to the lowest polymorph listed for this composition ... 194 meV/atom
ΔE_f ... -0.601 eV/atom
V ... 17.8 Å³/atom
Total magnetic moment ... 0.00 Bohr magnetons per cell

=====

Entry 7:
# Sc4RhAu3

A relaxed Sc4RhAu3 crystal (GGA-PBE, Alexandria).

Unit cell a=3.404 b=4.741 c=9.428 alpha=90.00 beta=90.00 gamma=90.00
Fractional positions:
Sc 0.000 0.500 0.763
Sc 0.000 0.500 0.237
Sc 0.000 0.000 0.500
Sc 0.000 0.000 0.000
Au 0.500 0.500 0.500
Au 0.500 0.000 0.247
Au 0.500 0.000 0.753
Rh 0.500 0.500 0.000

Summary:
Total DFT energy (no corrections) ... -49.22 eV for the cell shown
ΔE_f ... -0.838 eV/atom
V ... 19.0 Å³/atom
Total magnetic moment ... 0.00 Bohr magnetons per cell

=====

Entry 8:
# Sc2RhAu

A relaxed Sc2RhAu crystal (GGA-PBE, Alexandria).

Unit cell a=3.252 b=3.411 c=6.595 alpha=90.00 beta=90.00 gamma=90.00
Fractional positions:
Sc 0.000 0.000 0.986
Sc 0.000 0.000 0.514
Au 0.500 0.500 0.250
Rh 0.500 0.500 0.750

Summary:
Total DFT energy (no corrections) ... -26.85 eV for the cell shown
ΔE_f ... -0.889 eV/atom
V ... 18.3 Å³/atom
Total magnetic moment ... 0.00 Bohr magnetons per cell

=====

Entry 9:
# Sc4Rh2Au

A relaxed Sc4Rh2Au crystal (GGA-PBE, Alexandria).

Unit cell a=4.616 b=4.616 c=7.883 alpha=72.97 beta=72.97 gamma=60.00
Fractional positions:
Sc 0.618 0.618 0.145
Sc 0.130 0.130 0.610
Sc 0.870 0.870 0.390
Sc 0.382 0.382 0.855
Rh 0.748 0.748 0.757
Rh 0.252 0.252 0.243
Au 0.000 0.000 0.000

Summary:
Total DFT energy (no corrections) ... -48.75 eV for the cell shown
ΔE_f ... -0.777 eV/atom
V ... 19.6 Å³/atom
Total magnetic moment ... 0.00 Bohr magnetons per cell

=====

Entry 10:
# ScRh2Au

A relaxed ScRh2Au crystal (GGA-PBE, Alexandria).

Unit cell a=8.888 b=8.888 c=8.888 alpha=19.27 beta=19.27 gamma=19.27
Fractional positions:
Au 0.750 0.750 0.750
Rh 0.506 0.506 0.506
Rh 0.994 0.994 0.994
Sc 0.250 0.250 0.250

Summary:
Total DFT energy (no corrections) ... -25.29 eV for the cell shown
ΔE_f ... -0.243 eV/atom
V ... 16.7 Å³/atom
Total magnetic moment ... 0.00 Bohr magnetons per cell

=====

Entry 11:
# Sc2RhAu

A relaxed Sc2RhAu crystal (GGA-PBE, Alexandria).

Unit cell a=3.311 b=4.731 c=9.372 alpha=90.00 beta=90.00 gamma=90.00
Fractional positions:
Sc 0.000 0.750 0.888
Sc 0.000 0.750 0.365
Sc 0.000 0.250 0.635
Sc 0.000 0.250 0.112
Au 0.500 0.250 0.364
Au 0.500 0.750 0.636
Rh 0.500 0.750 0.125
Rh 0.500 0.250 0.875

Summary:
Total DFT energy (no corrections) ... -53.73 eV for the cell shown
ΔE_f ... -0.893 eV/atom
V ... 18.4 Å³/atom
Total magnetic moment ... 0.00 Bohr magnetons per cell

=====

Entry 12:
# Sc2RhAu

A relaxed Sc2RhAu crystal (GGA-PBE, Alexandria).

Unit cell a=5.302 b=5.302 c=4.502 alpha=89.99 beta=89.99 gamma=36.93
Fractional positions:
Rh 0.281 0.281 0.125
Sc 0.736 0.736 0.625
Sc 0.021 0.021 0.125
Au 0.462 0.462 0.625

Summary:
Total DFT energy (no corrections) ... -26.57 eV for the cell shown
ΔE_f ... -0.819 eV/atom
V ... 19.0 Å³/atom
Total magnetic moment ... 0.00 Bohr magnetons per cell

=====

Entry 13:
# Sc6RhAu5

A relaxed Sc6RhAu5 crystal (GGA-PBE, Alexandria).

Unit cell a=4.757 b=6.789 c=7.547 alpha=90.00 beta=71.63 gamma=90.00
Fractional positions:
Au 0.668 0.500 0.665
Au 0.000 0.500 0.000
Au 0.332 0.500 0.335
Au 0.663 0.000 0.674
Au 0.337 0.000 0.326
Sc 0.500 0.757 0.000
Sc 0.500 0.243 0.000
Sc 0.837 0.755 0.327
Sc 0.163 0.245 0.673
Sc 0.837 0.245 0.327
Sc 0.163 0.755 0.673
Rh 0.000 0.000 0.000

Summary:
Total DFT energy (no corrections) ... -71.61 eV for the cell shown
ΔE_f ... -0.824 eV/atom
V ... 19.3 Å³/atom
Total magnetic moment ... 0.00 Bohr magnetons per cell

=====

Entry 14:
# ScRh2Au

A relaxed ScRh2Au crystal (GGA-PBE, Alexandria).

Unit cell a=4.859 b=4.859 c=4.888 alpha=77.26 beta=77.26 gamma=35.78
Fractional positions:
Rh 0.508 0.508 0.498
Rh 0.992 0.992 0.002
Sc 0.250 0.250 0.250
Au 0.750 0.750 0.750

Summary:
Total DFT energy (no corrections) ... -26.07 eV for the cell shown
ΔE_f ... -0.440 eV/atom
V ... 16.4 Å³/atom
Total magnetic moment ... 0.00 Bohr magnetons per cell

=====

Entry 15:
# ScRh2Au

A relaxed ScRh2Au crystal (GGA-PBE, Alexandria).

Unit cell a=3.895 b=2.978 c=6.403 alpha=62.24 beta=90.00 gamma=90.00
Fractional positions:
Rh 0.500 0.261 0.239
Rh 0.000 0.979 0.021
Au 0.500 0.744 0.756
Sc 0.000 0.515 0.485

Summary:
Total DFT energy (no corrections) ... -26.05 eV for the cell shown
ΔE_f ... -0.435 eV/atom
V ... 16.4 Å³/atom
Total magnetic moment ... 0.00 Bohr magnetons per cell

=====

Entry 16:
# ScRh2Au

A relaxed ScRh2Au crystal (GGA-PBE, Alexandria).

Unit cell a=4.975 b=4.975 c=4.637 alpha=76.64 beta=76.64 gamma=36.15
Fractional positions:
Rh 0.005 0.005 0.990
Rh 0.750 0.750 0.755
Sc 0.495 0.495 0.510
Au 0.251 0.251 0.246

Summary:
Total DFT energy (no corrections) ... -26.06 eV for the cell shown
ΔE_f ... -0.438 eV/atom
V ... 16.4 Å³/atom
Total magnetic moment ... 0.00 Bohr magnetons per cell

=====

Entry 17:
# Sc2Rh3Au3

A relaxed Sc2Rh3Au3 crystal (GGA-PBE, Alexandria).

Unit cell a=4.122 b=4.060 c=7.899 alpha=90.00 beta=90.00 gamma=90.00
Fractional positions:
Rh 0.000 0.500 0.000
Rh 0.500 0.000 0.500
Rh 0.000 0.500 0.500
Sc 0.000 0.000 0.738
Sc 0.000 0.000 0.262
Au 0.500 0.000 0.000
Au 0.500 0.500 0.255
Au 0.500 0.500 0.745

Summary:
Total DFT energy (no corrections) ... -49.87 eV for the cell shown
ΔE_f ... -0.665 eV/atom
V ... 16.5 Å³/atom
Total magnetic moment ... 0.00 Bohr magnetons per cell

=====

Entry 18:
# ScRh2Au

A relaxed ScRh2Au crystal (GGA-PBE, Alexandria).

Unit cell a=9.034 b=9.034 c=9.034 alpha=18.86 beta=18.86 gamma=18.86
Each line ends with the local moment (μB).
Fractional positions:
Au 0.750 0.750 0.750  0.02
Sc 0.505 0.505 0.505  -0.02
Rh 0.997 0.997 0.997  0.84
Rh 0.248 0.248 0.248  0.30

Summary:
Total DFT energy (no corrections) ... -24.58 eV for the cell shown
ΔE_f ... -0.068 eV/atom
V ... 16.8 Å³/atom
Total magnetic moment ... 1.13 Bohr magnetons per cell

=====

Entry 19:
# ScRh2Au

A relaxed ScRh2Au crystal (GGA-PBE, Alexandria).

Unit cell a=4.542 b=4.542 c=4.542 alpha=60.00 beta=60.00 gamma=60.00
Fractional positions:
Rh 0.250 0.250 0.250
Rh 0.000 0.000 0.000
Sc 0.750 0.750 0.750
Au 0.500 0.500 0.500

Summary:
Total DFT energy (no corrections) ... -25.83 eV for the cell shown
ΔE_f ... -0.380 eV/atom
V ... 16.6 Å³/atom
Total magnetic moment ... 0.00 Bohr magnetons per cell

=====

Entry 20:
# Sc2RhAu

A relaxed Sc2RhAu crystal (GGA-PBE, Alexandria).

Unit cell a=9.536 b=9.536 c=9.536 alpha=19.20 beta=19.20 gamma=19.20
Fractional positions:
Sc 0.098 0.098 0.098
Sc 0.902 0.902 0.902
Au 0.000 0.000 0.000
Rh 0.500 0.500 0.500

Summary:
Total DFT energy (no corrections) ... -24.23 eV for the cell shown
ΔE_f ... -0.235 eV/atom
V ... 20.5 Å³/atom
Total magnetic moment ... 0.00 Bohr magnetons per cell